First-principles (PBE) data for a relaxed VGa2Fe4 crystal, as listed in Alexandria.

Lattice parameters (Å, degrees): 4.0648 4.0648 6.2241 109.06 109.06 90.00
Closest atoms and distances in Å follow each position.
Sites, in units of the cell vectors:
Fe  0.3852  0.8852  0.7704  2 V 2.40, 4 Ga 2.50-2.55, 1 Fe 2.54
Fe  0.1148  0.6148  0.2296  2 V 2.40, 4 Ga 2.50-2.55, 1 Fe 2.54
Fe  0.6148  0.1148  0.2296  2 V 2.40, 4 Ga 2.50-2.55, 1 Fe 2.54
Fe  0.8852  0.3852  0.7704  2 V 2.40, 4 Ga 2.50-2.55, 1 Fe 2.54
Ga  0.2540  0.2540  0.5080  8 Fe 2.50-2.55
Ga  0.7460  0.7460  0.4920  8 Fe 2.50-2.55
V  0.0000  0.0000  0.0000  8 Fe 2.40

* space group: I4/mmm
* energy relative to the lowest polymorph listed for this composition: 0.0 kJ per mole of atoms


First-principles (PBE) data for a relaxed ScPa5Pt6 crystal, as listed in Alexandria.

Lattice parameters (Å, degrees): 4.6712 7.1854 8.5038 65.01 74.11 90.00
Closest atoms and distances in Å follow each position.
Sites, in units of the cell vectors:
Pt  0.5000  0.7798  0.0000  2 Sc 2.82, 4 Pa 3.05-3.08
Pt  0.8484  0.0666  0.3008  1 Sc 2.70, 3 Pa 2.89-3.00
Pt  0.1517  0.3674  0.6992  1 Sc 2.70, 3 Pa 2.89-3.00
Pt  0.8483  0.6326  0.3008  1 Sc 2.70, 3 Pa 2.89-3.00
Pt  0.1516  0.9334  0.6992  1 Sc 2.70, 3 Pa 2.89-3.00
Pt  0.5000  0.2202  0.0000  2 Sc 2.82, 4 Pa 3.05-3.08
Sc  0.0000  0.0000  0.0000  8 Pt 2.70-2.82
Pa  0.6978  0.1968  0.6065  6 Pt 2.89-3.03, 2 Pa 3.18-3.19
Pa  0.3022  0.8032  0.3935  6 Pt 2.89-3.03, 2 Pa 3.18-3.19
Pa  0.6563  0.6561  0.6879  8 Pt 3.05-3.24, 4 Pa 3.18-3.28
Pa  0.0000  0.5000  0.0000  8 Pt 3.00-3.08, 4 Pa 3.27-3.28
Pa  0.3437  0.3439  0.3121  8 Pt 3.05-3.24, 4 Pa 3.18-3.28

* calculated total energy: -8.39 eV/atom
* space group: C2/m


First-principles (PBE) data for a relaxed NpSi2HgO8 crystal, as listed in Alexandria.

Lattice parameters (Å, degrees): 5.4046 5.4046 8.4799 101.59 101.59 62.69
Closest atoms and distances in Å follow each position.
Sites, in units of the cell vectors:
Np  0.0000  0.0000  0.0000  6 O 2.05-2.08
O  0.7810  0.7810  0.3999  1 Si 1.62
O  0.1744  0.6493  0.8310  1 Si 1.65
O  0.1897  0.1897  0.9137  1 Si 1.65
O  0.2190  0.2190  0.6001  1 Si 1.62
O  0.8256  0.3507  0.1690  1 Si 1.65
O  0.3507  0.8256  0.1690  1 Si 1.65
O  0.6493  0.1744  0.8310  1 Si 1.65
O  0.8103  0.8103  0.0863  1 Si 1.65
Si  0.6960  0.6960  0.2099  4 O 1.62-1.65
Si  0.3040  0.3040  0.7901  4 O 1.62-1.65
Hg  0.0000  0.0000  0.5000  2 O 2.00

* space group: C2/m
* formation energy without anion corrections: -220.0 kJ/mol of atoms


no.,magnetic moment (μB/f.u.)
1,4.91
2,0.00
3,1.00